A plane-wave DFT calculation with PBE was carried out for a relaxed Al3ZnAu crystal.

The formation energy comes out at 2.31 eV/f.u. The energy above the most stable polymorph in this dataset is 0.1459 eV/atom. The calculation puts the total energy at -0.0990 Ha/atom.

The space group is Pm-3m (No. 221) and the conventional cell measures 4.696, 4.696 and 4.696 Å, with angles of 90.00, 90.00 and 90.00 degrees. Symmetry generates all atoms from Al at (0.000, 0.000, 0.500), Zn at (0.000, 0.000, 0.000) and Au at (0.500, 0.500, 0.500).